Record 1
# Sm5GeAs4

A relaxed structure of Sm5GeAs4 (PBE-GGA, Alexandria via LeMat-Bulk).

* symmetry: I4/m, No. 87
* final energy: -6.03 eV/atom
* density of states at the Fermi level: 0.464 states/eV per atom
* energy relative to the elements: -1.3466 eV/atom
* density: 7.04 g/cm3

abc: 7.3041 7.3041 7.3041
angles: 99.59 99.59 131.83
Closest atoms and distances in Å follow each position.
Atoms (fractional coordinates):
Sm 0.0000 0.0000 0.0000  2 Ge 2.98, 4 As 2.99
Sm 0.1973 0.3982 0.5955  5 As 2.95-2.99, 1 Ge 3.01
Sm 0.3982 0.8027 0.2010  5 As 2.95-2.99, 1 Ge 3.01
Sm 0.6018 0.1973 0.7990  5 As 2.95-2.99, 1 Ge 3.01
Sm 0.8027 0.6018 0.4045  5 As 2.95-2.99, 1 Ge 3.01
Ge 0.5000 0.5000 0.0000  6 Sm 2.98-3.01
As 0.0997 0.6996 0.7992  6 Sm 2.95-2.99
As 0.3004 0.0997 0.4001  6 Sm 2.95-2.99
As 0.6996 0.9003 0.5999  6 Sm 2.95-2.99
As 0.9003 0.3004 0.2008  6 Sm 2.95-2.99

---

Record 2
# Sm2GeAs

A relaxed structure of Sm2GeAs (PBE-GGA, Alexandria via LeMat-Bulk).

* symmetry: R-3m, No. 166
* final energy: -5.77 eV/atom
* density of states at the Fermi level: 0.370 states/eV per atom
* energy relative to the elements: -1.0942 eV/atom
* density: 6.98 g/cm3
* relative energy among the computed polymorphs: 8.99 kJ/mol of atoms

abc: 7.5743 7.5743 7.5743
angles: 31.70 31.70 31.70
Closest atoms and distances in Å follow each position.
Atoms (fractional coordinates):
Sm 0.2471 0.2471 0.2471  3 As 2.95, 3 Ge 3.03
Sm 0.7529 0.7529 0.7529  3 As 2.95, 3 Ge 3.03
Ge 0.0000 0.0000 0.0000  6 Sm 3.03
As 0.5000 0.5000 0.5000  6 Sm 2.95

---

Record 3
# Sm4GeAs2

A relaxed structure of Sm4GeAs2 (PBE-GGA, Alexandria via LeMat-Bulk).

* symmetry: I-42d, No. 122
* final energy: -5.81 eV/atom
* density of states at the Fermi level: 1.009 states/eV per atom
* energy relative to the elements: -1.1299 eV/atom
* density: 7.60 g/cm3

abc: 7.7613 7.7613 7.7613
angles: 109.51 109.51 109.39
Closest atoms and distances in Å follow each position.
Atoms (fractional coordinates):
Sm 0.1236 0.7407 0.7479  4 As 2.93-3.29, 2 Ge 2.95-3.26
Sm 0.1257 0.2428 0.7521  4 As 2.93-3.29, 2 Ge 2.95-3.26
Sm 0.2593 0.0072 0.3829  4 As 2.93-3.29, 2 Ge 2.95-3.26
Sm 0.4907 0.3736 0.2479  4 As 2.93-3.29, 2 Ge 2.95-3.26
Sm 0.6243 0.8764 0.6171  4 As 2.93-3.29, 2 Ge 2.95-3.26
Sm 0.6264 0.8743 0.1171  4 As 2.93-3.29, 2 Ge 2.95-3.26
Sm 0.7572 0.5093 0.8829  4 As 2.93-3.29, 2 Ge 2.95-3.26
Sm 0.9928 0.3757 0.2521  4 As 2.93-3.29, 2 Ge 2.95-3.26
Ge 0.0000 0.0000 0.0000  8 Sm 2.95-3.26
Ge 0.7500 0.2500 0.5000  8 Sm 2.95-3.26
As 0.2508 0.6250 0.1258  8 Sm 2.93-3.29
As 0.3750 0.5008 0.6258  8 Sm 2.93-3.29
As 0.4992 0.1250 0.8742  8 Sm 2.93-3.29
As 0.8750 0.7492 0.3742  8 Sm 2.93-3.29

---

Record 4
# Sm2GeAs

A relaxed structure of Sm2GeAs (PBE-GGA, Alexandria via LeMat-Bulk).

* symmetry: Cmcm, No. 63
* final energy: -5.86 eV/atom
* density of states at the Fermi level: 0.394 states/eV per atom
* energy relative to the elements: -1.1874 eV/atom
* density: 7.24 g/cm3
* relative energy among the computed polymorphs: 0.00 kJ/mol of atoms

abc: 11.7861 11.7861 4.1123
angles: 90.00 90.00 158.90
Closest atoms and distances in Å follow each position.
Atoms (fractional coordinates):
Sm 0.0650 0.9350 0.7500  1 As 2.85, 4 Ge 3.03
Sm 0.3138 0.6862 0.7500  5 As 2.92-2.98
Sm 0.6862 0.3138 0.2500  5 As 2.92-2.98
Sm 0.9350 0.0650 0.2500  1 As 2.85, 4 Ge 3.03
Ge 0.4595 0.5405 0.7500  2 Ge 2.78, 4 Sm 3.03
Ge 0.5405 0.4595 0.2500  2 Ge 2.78, 4 Sm 3.03
As 0.1880 0.8120 0.7500  6 Sm 2.85-2.98
As 0.8120 0.1880 0.2500  6 Sm 2.85-2.98

---

Record 5
# Sm6GeAs4

A relaxed structure of Sm6GeAs4 (PBE-GGA, Alexandria via LeMat-Bulk).

* symmetry: Cmcm, No. 63
* final energy: -5.96 eV/atom
* density of states at the Fermi level: 0.444 states/eV per atom
* energy relative to the elements: -1.2760 eV/atom
* density: 6.96 g/cm3

abc: 7.2257 7.2257 20.9174
angles: 90.00 90.00 146.15
Closest atoms and distances in Å follow each position.
Atoms (fractional coordinates):
Sm 0.0000 0.0000 0.0000  6 As 2.97-2.98
Sm 0.0000 0.0000 0.5000  6 As 2.97-2.98
Sm 0.1911 0.8089 0.7500  2 As 2.89, 2 Ge 2.94
Sm 0.2733 0.7267 0.0842  5 As 2.93-2.98
Sm 0.2733 0.7267 0.4158  5 As 2.93-2.98
Sm 0.4531 0.5469 0.6649  3 As 2.85-2.93, 2 Ge 3.17
Sm 0.4531 0.5469 0.8351  3 As 2.85-2.93, 2 Ge 3.17
Sm 0.5469 0.4531 0.1649  3 As 2.85-2.93, 2 Ge 3.17
Sm 0.5469 0.4531 0.3351  3 As 2.85-2.93, 2 Ge 3.17
Sm 0.7267 0.2733 0.5842  5 As 2.93-2.98
Sm 0.7267 0.2733 0.9158  5 As 2.93-2.98
Sm 0.8089 0.1911 0.2500  2 As 2.89, 2 Ge 2.94
Ge 0.1598 0.8402 0.2500  6 Sm 2.94-3.17
Ge 0.8402 0.1598 0.7500  6 Sm 2.94-3.17
As 0.0905 0.9095 0.6292  6 Sm 2.89-2.98
As 0.0905 0.9095 0.8708  6 Sm 2.89-2.98
As 0.3625 0.6375 0.5426  6 Sm 2.85-2.97
As 0.3625 0.6375 0.9574  6 Sm 2.85-2.97
As 0.6375 0.3625 0.0426  6 Sm 2.85-2.97
As 0.6375 0.3625 0.4574  6 Sm 2.85-2.97
As 0.9095 0.0905 0.1291  6 Sm 2.89-2.98
As 0.9095 0.0905 0.3708  6 Sm 2.89-2.98

---

Record 6
# Sm2GeAs

A relaxed structure of Sm2GeAs (PBE-GGA, Alexandria via LeMat-Bulk).

* symmetry: R3m, No. 160
* final energy: -5.62 eV/atom
* density of states at the Fermi level: 0.420 states/eV per atom
* energy relative to the elements: -0.9397 eV/atom
* density: 6.86 g/cm3
* relative energy among the computed polymorphs: 23.90 kJ/mol of atoms

abc: 7.9273 7.9273 7.9273
angles: 29.75 29.75 29.75
Closest atoms and distances in Å follow each position.
Atoms (fractional coordinates):
Sm 0.0000 0.0000 0.0000  3 As 2.99, 3 Ge 3.00
Sm 0.1652 0.1652 0.1652  3 As 3.03, 3 Ge 3.05
Ge 0.5843 0.5843 0.5843  6 Sm 3.00-3.05
As 0.4145 0.4145 0.4145  6 Sm 2.99-3.03

---

Record 7
# Sm8GeTe4As3

A relaxed structure of Sm8GeTe4As3 (PBE-GGA, Alexandria via LeMat-Bulk).

* uncorrected formation energy: -1.465 eV per atom
* symmetry: R-3m, No. 166
* final energy: -5.77 eV/atom
* density of states at the Fermi level: 0.339 states/eV per atom
* density: 7.21 g/cm3

abc: 8.7711 8.7711 8.7711
angles: 58.71 58.71 58.71
Closest atoms and distances in Å follow each position.
Atoms (fractional coordinates):
Sm 0.2401 0.2401 0.2401  3 As 2.95, 3 Te 3.20
Sm 0.2425 0.7393 0.7393  1 Ge 2.94, 2 As 2.96, 3 Te 3.19-3.21
Sm 0.2607 0.2607 0.7575  1 Ge 2.94, 2 As 2.96, 3 Te 3.19-3.21
Sm 0.2607 0.7575 0.2607  1 Ge 2.94, 2 As 2.96, 3 Te 3.19-3.21
Sm 0.7393 0.2425 0.7393  1 Ge 2.94, 2 As 2.96, 3 Te 3.19-3.21
Sm 0.7393 0.7393 0.2425  1 Ge 2.94, 2 As 2.96, 3 Te 3.19-3.21
Sm 0.7575 0.2607 0.2607  1 Ge 2.94, 2 As 2.96, 3 Te 3.19-3.21
Sm 0.7599 0.7599 0.7599  3 As 2.95, 3 Te 3.20
Ge 0.5000 0.5000 0.5000  6 Sm 2.94
Te 0.0000 0.0000 0.0000  6 Sm 3.21
Te 0.0000 0.5000 0.5000  6 Sm 3.19-3.20
Te 0.5000 0.0000 0.5000  6 Sm 3.19-3.20
Te 0.5000 0.5000 0.0000  6 Sm 3.19-3.20
As 0.0000 0.0000 0.5000  6 Sm 2.95-2.96
As 0.0000 0.5000 0.0000  6 Sm 2.95-2.96
As 0.5000 0.0000 0.0000  6 Sm 2.95-2.96

---

Record 8
# Sm4GeTeAs2

A relaxed structure of Sm4GeTeAs2 (PBE-GGA, Alexandria via LeMat-Bulk).

* uncorrected formation energy: -1.351 eV per atom
* symmetry: P2/m, No. 10
* final energy: -5.84 eV/atom
* density of states at the Fermi level: 0.192 states/eV per atom
* density: 7.11 g/cm3

abc: 7.4316 4.2493 7.4414
angles: 90.00 109.04 90.00
Closest atoms and distances in Å follow each position.
Atoms (fractional coordinates):
Sm 0.2352 0.0000 0.2326  3 As 2.93-3.05, 1 Ge 3.02, 2 Te 3.13
Sm 0.2426 0.5000 0.7556  3 As 2.95-3.02, 2 Ge 3.03, 1 Te 3.11
Sm 0.7574 0.5000 0.2444  3 As 2.95-3.02, 2 Ge 3.03, 1 Te 3.11
Sm 0.7648 0.0000 0.7674  3 As 2.93-3.05, 1 Ge 3.02, 2 Te 3.13
Ge 0.5000 0.0000 0.0000  6 Sm 3.02-3.03
Te 0.5000 0.5000 0.5000  6 Sm 3.11-3.13
As 0.0000 0.0000 0.5000  6 Sm 3.02-3.05
As 0.0000 0.5000 0.0000  6 Sm 2.93-2.95